The following is a DFT calculation (meta-GGA SCAN) of a PBEsol-optimized structure of K4Rb2Co2O5.

The space group is P4_2/mnm (No. 136) and the conventional cell measures 6.670, 6.670 and 11.548 Å, with angles of 90.00, 90.00 and 90.00 degrees. The inequivalent atoms are K at (0.000, 0.000, 0.223), K at (0.000, 0.500, 0.250), Rb at (0.181, 0.181, 0.500), Co at (0.195, 0.195, 0.000), O at (0.000, 0.000, 0.000) and O at (0.213, 0.787, 0.362).

The value obtained for the total energy is -157.4 eV/f.u. The spin magnetization comes out at 0.4615 μB/atom. The uncorrected formation energy comes out at -1.2945 eV per atom.

The following is a DFT calculation (meta-GGA SCAN) of a PBEsol-optimized structure of KCoRh2O.

The space group is P4/mmm (No. 123) and the conventional cell measures 4.291, 4.291 and 6.067 Å, with angles of 90.00, 90.00 and 90.00 degrees. The inequivalent atoms are K at (0.000, 0.000, 0.000), Co at (0.000, 0.000, 0.500), Rh at (0.000, 0.500, 0.500) and O at (0.500, 0.500, 0.000).

The value obtained for the total energy is -93.4 eV/f.u. The spin magnetization comes out at 1.0616 μB/atom. The uncorrected formation energy comes out at 1.1945 eV per atom.

The following is a DFT calculation (meta-GGA SCAN) of a PBEsol-optimized structure of K2Co2S3O12.

The space group is P2_13 (No. 198) and the conventional cell measures 9.867, 9.867 and 9.867 Å, with angles of 90.00, 90.00 and 90.00 degrees. The inequivalent atoms are K at (0.050, 0.050, 0.050), K at (0.185, 0.315, 0.685), Co at (0.095, 0.905, 0.405), Co at (0.163, 0.663, 0.837), S at (0.022, 0.218, 0.377), O at (0.002, 0.075, 0.330), O at (0.006, 0.553, 0.758), O at (0.037, 0.811, 0.224) and O at (0.097, 0.833, 0.744).

The value obtained for the total energy is -187.6 eV/f.u. The spin magnetization comes out at 0.3158 μB/atom. The uncorrected formation energy comes out at -1.7200 eV per atom.

The following is a DFT calculation (meta-GGA SCAN) of a PBEsol-optimized structure of KCoOs.

The space group is P3m1 (No. 156) and the conventional cell measures 2.7268, 2.7268 and 7.6914 Å, with angles of 90.00, 90.00 and 120.00 degrees. The inequivalent atoms are K at (0.0000, 0.0000, 0.0000), Co at (0.6667, 0.3333, 0.3723) and Os at (0.3333, 0.6667, 0.6219).

The value obtained for the total energy is -94.5 eV/f.u. The spin magnetization comes out at 0.6593 μB/atom. The value obtained for the formation energy is 1.02 eV per atom.

Fermi-level density of states, record by record: 6.58, 5.03, 6.77, 1.89 states/eV/f.u.